1.
A relaxed La6CdHg3 crystal, computed with PBE.

SG: P2_1/m (11)

Cell: 5.522 9.632 12.191 Å, 107.58 90.00 90.00°
Positions (direct):
Hg (0.750, 0.236, 0.026)
Hg (0.750, 0.464, 0.624)
Hg (0.250, 0.536, 0.376)
Hg (0.250, 0.374, 0.784)
Hg (0.750, 0.626, 0.216)
Hg (0.250, 0.764, 0.974)
La (0.250, 0.472, 0.089)
La (0.750, 0.736, 0.499)
La (0.250, 0.844, 0.306)
La (0.250, 0.122, 0.144)
La (0.750, 0.156, 0.694)
La (0.750, 0.878, 0.856)
La (0.750, 0.528, 0.911)
La (0.250, 0.654, 0.682)
La (0.250, 0.087, 0.879)
La (0.250, 0.264, 0.501)
La (0.750, 0.913, 0.121)
La (0.750, 0.346, 0.318)
Cd (0.250, 0.955, 0.593)
Cd (0.750, 0.045, 0.407)


2.
A relaxed LaCd11Hg crystal, computed with PBE.

SG: C2/m (12)

Cell: 6.051 7.699 7.710 Å, 81.16 66.89 66.95°
Positions (direct):
Cd (0.997, 0.648, 0.354)
Cd (0.716, 0.787, 0.786)
Cd (0.498, 0.213, 0.786)
Cd (0.502, 0.787, 0.214)
Cd (0.351, 0.648, 0.646)
Cd (0.000, 0.000, 0.500)
Cd (0.000, 0.500, 0.000)
Cd (0.003, 0.352, 0.646)
Cd (0.649, 0.352, 0.354)
Cd (0.284, 0.213, 0.214)
Cd (0.500, 0.000, 0.500)
La (0.000, 0.000, 0.000)
Hg (0.500, 0.500, 0.000)


3.
A relaxed LaCdHg2 crystal, computed with PBE.

SG: Pmmm (47)

Cell: 4.923 4.941 4.461 Å, 90.00 90.00 90.00°
Positions (direct):
La (0.500, 0.000, 0.500)
Hg (0.500, 0.500, 0.000)
Hg (0.000, 0.000, 0.000)
Cd (0.000, 0.500, 0.500)


4.
A relaxed LaCd2Hg crystal, computed with PBE.

SG: Pm (6)

Cell: 5.002 3.412 6.325 Å, 87.24 90.00 90.00°
Last column: magnetic moment on the atom in μB.
Positions (direct):
Hg (0.000, 0.273, 0.504)  0.00
Cd (0.500, 0.258, 0.245)  0.00
Cd (0.000, 0.219, 0.009)  0.00
La (0.500, 0.750, 0.742)  0.09


5.
A relaxed La9Cd2Hg crystal, computed with PBE.

SG: P4/mmm (123)

Cell: 5.062 5.062 15.188 Å, 90.00 90.00 90.00°
Positions (direct):
Hg (0.000, 0.000, 0.000)
La (0.500, 0.000, 0.500)
La (0.500, 0.500, 0.667)
La (0.000, 0.500, 0.835)
La (0.000, 0.500, 0.500)
La (0.500, 0.500, 0.000)
La (0.500, 0.000, 0.835)
La (0.000, 0.500, 0.165)
La (0.500, 0.000, 0.165)
La (0.500, 0.500, 0.333)
Cd (0.000, 0.000, 0.668)
Cd (0.000, 0.000, 0.332)


6.
A relaxed La2CdHg3 crystal, computed with PBE.

SG: Imm2 (44)
Energy relative to the lowest polymorph listed for this composition (meV/atom): 132

Cell: 4.825 3.964 9.704 Å, 101.79 104.40 90.00°
Last column: magnetic moment on the atom in μB.
Positions (direct):
Hg (0.554, 0.554, 0.107)  0.00
Hg (0.292, 0.792, 0.585)  0.00
Hg (0.710, 0.710, 0.420)  0.00
La (0.135, 0.135, 0.269)  0.06
La (0.862, 0.362, 0.724)  0.06
Cd (0.448, 0.948, 0.895)  0.00


7.
A relaxed LaCd12Hg6 crystal, computed with PBE.

SG: R-3m (166)
Energy relative to the lowest polymorph listed for this composition (meV/atom): 70

Cell: 8.262 8.262 8.262 Å, 105.41 105.41 105.41°
Positions (direct):
Cd (0.109, 0.500, 0.891)
Cd (0.891, 0.500, 0.109)
Cd (0.500, 0.891, 0.109)
Cd (0.109, 0.891, 0.500)
Cd (0.500, 0.109, 0.891)
Cd (0.139, 0.376, 0.376)
Cd (0.624, 0.861, 0.624)
Cd (0.376, 0.139, 0.376)
Cd (0.891, 0.109, 0.500)
Cd (0.376, 0.376, 0.139)
Cd (0.861, 0.624, 0.624)
Cd (0.624, 0.624, 0.861)
Hg (0.278, 0.708, 0.708)
Hg (0.292, 0.292, 0.722)
Hg (0.708, 0.278, 0.708)
Hg (0.292, 0.722, 0.292)
Hg (0.722, 0.292, 0.292)
Hg (0.708, 0.708, 0.278)
La (0.000, 0.000, 0.000)


8.
A relaxed La8CdHg2 crystal, computed with PBE.

SG: C2/m (12)
Energy relative to the lowest polymorph listed for this composition (meV/atom): 29

Cell: 5.861 8.832 8.832 Å, 118.54 101.26 101.26°
Positions (direct):
Hg (0.000, 0.694, 0.306)
Hg (0.000, 0.306, 0.694)
La (0.917, 0.696, 0.911)
La (0.500, 0.773, 0.227)
La (0.917, 0.911, 0.696)
La (0.083, 0.304, 0.089)
La (0.083, 0.089, 0.304)
La (0.500, 0.227, 0.773)
La (0.696, 0.401, 0.401)
La (0.304, 0.599, 0.599)
Cd (0.500, 0.000, 0.000)


9.
A relaxed La15Cd4Hg crystal, computed with PBE.

SG: P4/mmm (123)

Cell: 5.073 5.073 25.218 Å, 90.00 90.00 90.00°
Positions (direct):
La (0.000, 0.500, 0.500)
La (0.000, 0.500, 0.299)
La (0.500, 0.500, 0.801)
La (0.500, 0.500, 0.199)
La (0.500, 0.000, 0.099)
La (0.000, 0.500, 0.901)
La (0.500, 0.000, 0.500)
La (0.500, 0.000, 0.701)
La (0.500, 0.500, 0.400)
La (0.500, 0.000, 0.299)
La (0.000, 0.500, 0.099)
La (0.500, 0.500, 0.000)
La (0.500, 0.000, 0.901)
La (0.000, 0.500, 0.701)
La (0.500, 0.500, 0.600)
Cd (0.000, 0.000, 0.400)
Cd (0.000, 0.000, 0.199)
Cd (0.000, 0.000, 0.600)
Cd (0.000, 0.000, 0.801)
Hg (0.000, 0.000, 0.000)


10.
A relaxed La3CdHg5 crystal, computed with PBE.

SG: P6_3/mcm (193)

Cell: 6.626 9.333 9.332 Å, 120.00 90.00 90.00°
Positions (direct):
La (0.750, 0.648, 0.000)
La (0.250, 0.000, 0.352)
La (0.750, 0.352, 0.352)
La (0.250, 0.648, 0.648)
La (0.750, 0.000, 0.648)
La (0.250, 0.352, 0.000)
Hg (0.250, 0.310, 0.310)
Hg (0.750, 0.310, 0.000)
Hg (0.750, 0.000, 0.310)
Hg (0.250, 0.690, 0.000)
Hg (0.500, 0.667, 0.333)
Hg (0.500, 0.333, 0.667)
Hg (0.750, 0.690, 0.690)
Hg (0.000, 0.333, 0.667)
Hg (0.250, 0.000, 0.690)
Hg (0.000, 0.667, 0.333)
Cd (0.000, 0.000, 0.000)
Cd (0.500, 0.000, 0.000)


11.
A relaxed LaCdHg2 crystal, computed with PBE.

SG: Pm (6)

Cell: 5.133 3.510 6.056 Å, 89.70 90.00 90.00°
Positions (direct):
Hg (0.500, 0.004, 0.262)
Hg (0.000, 0.002, 0.990)
Cd (0.500, 0.994, 0.760)
La (0.000, 0.500, 0.489)


12.
A relaxed LaCd6Hg2 crystal, computed with PBE.

SG: C2/m (12)

Cell: 3.221 9.069 9.069 Å, 59.51 79.52 79.52°
Last column: magnetic moment on the atom in μB.
Positions (direct):
Hg (0.144, 0.349, 0.349)  0.00
Hg (0.856, 0.651, 0.651)  0.00
Cd (0.500, 0.332, 0.668)  0.00
Cd (0.325, 0.004, 0.347)  0.00
Cd (0.675, 0.653, 0.996)  0.00
Cd (0.325, 0.347, 0.004)  0.00
Cd (0.500, 0.668, 0.332)  0.00
Cd (0.675, 0.996, 0.653)  0.00
La (0.000, 0.000, 0.000)  0.09


| no. | formation energy (eV per atom) |
| --- | --- |
| 1 | -0.342 |
| 2 | -0.129 |
| 3 | -0.333 |
| 4 | -0.264 |
| 5 | -0.153 |
| 6 | -0.336 |
| 7 | 0.012 |
| 8 | -0.152 |
| 9 | -0.145 |
| 10 | -0.473 |
| 11 | -0.286 |
| 12 | -0.107 |